Record 1
Density functional theory data (PBE) for a relaxed structure of Ba5Sn2Pb5.

Cell lengths 17.6220, 5.2889, 13.3340 Å; angles 90.00, 129.62, 90.00 degrees
Space group C2/m (No. 12)
One atom of each set of equivalent atoms:
Ba: 0.0000 0.0000 0.0000 [2 per cell]
Ba: 0.1095 0.0000 0.4239 [4 per cell]
Ba: 0.2021 0.0000 0.8346 [4 per cell]
Sn: 0.1386 0.5000 0.2463 [4 per cell]
Pb: 0.0000 0.5000 0.5000 [2 per cell]
Pb: 0.0554 0.5000 0.8181 [4 per cell]
Pb: 0.2415 0.5000 0.6851 [4 per cell]

## Properties
Its formation energy is -0.499 eV/atom. As for the total energy: -0.12908 hartree per atom. Its volume is 39.89 Å³/atom. Its magnetic moment is 0.0 μB per formula unit.

=====

Record 2
Density functional theory data (PBE) for a relaxed structure of LiUAlRe.

Cell lengths 6.4947, 6.4947, 6.4947 Å; angles 90.00, 90.00, 90.00 degrees
Space group F-43m (No. 216)
One atom of each set of equivalent atoms:
Li: 0.0000 0.0000 0.0000 [4 per cell]
U: 0.2500 0.2500 0.2500 [4 per cell]
Al: 0.2500 0.2500 0.7500 [4 per cell]
Re: 0.0000 0.0000 0.5000 [4 per cell]

## Properties
Its formation energy is 0.146 eV/atom. As for the total energy: -0.26467 hartree per atom. Its volume is 17.12 Å³/atom. Its magnetic moment is 1.9 μB per formula unit.

=====

Record 3
Density functional theory data (PBE) for a relaxed structure of HfAl2Ge.

Cell lengths 3.9743, 3.9743, 4.4233 Å; angles 90.00, 90.00, 90.00 degrees
Space group P4/mmm (No. 123)
One atom of each set of equivalent atoms:
Hf: 0.0000 0.0000 0.0000 [1 per cell]
Al: 0.0000 0.5000 0.5000 [2 per cell]
Ge: 0.5000 0.5000 0.0000 [1 per cell]

## Properties
Its formation energy is -0.267 eV/atom. As for the total energy: -0.21245 hartree per atom. Its volume is 17.47 Å³/atom. Its magnetic moment is 0.0 μB per formula unit.

=====

Record 4
Density functional theory data (PBE) for a relaxed structure of In2SnAsRu.

Cell lengths 5.2647, 5.2647, 4.6340 Å; angles 90.00, 90.00, 90.00 degrees
Space group P4/mmm (No. 123)
One atom of each set of equivalent atoms:
In: 0.0000 0.5000 0.0000 [2 per cell]
Sn: 0.0000 0.0000 0.5000 [1 per cell]
As: 0.5000 0.5000 0.5000 [1 per cell]
Ru: 0.5000 0.5000 0.0000 [1 per cell]

## Properties
Its formation energy is 0.218 eV/atom. As for the total energy: -0.16402 hartree per atom. Its volume is 25.69 Å³/atom. Its magnetic moment is 0.0 μB per formula unit.